{
  "formula": "RbTlSi2Te",
  "functional": "GGA-PBE",
  "state": "relaxed",
  "m_tot_mub_per_fu": 0.00,
  "raw_formation_energy_ev_per_atom": 1.46,
  "lattice": [[-5.704, 0.720, 0.126], [-0.341, -3.603, 5.169], [0.662, 4.666, 3.296]],
  "species": ["Tl", "Te", "Si", "Si", "Rb"],
  "fractional_positions": [[0.500, 0.500, 0.500], [0.000, 0.500, 0.000], [0.000, 0.000, 0.500], [0.500, 0.000, 0.000], [0.000, 0.000, 0.000]]
}



{
  "formula": "SrBeTeN2",
  "functional": "GGA-PBE",
  "state": "relaxed",
  "m_tot_mub_per_fu": 3.85,
  "raw_formation_energy_ev_per_atom": 0.82,
  "lattice": [[4.313, 0.000, 0.000], [0.000, 4.313, 0.000], [0.000, 0.000, 4.986]],
  "species": ["Sr", "Te", "Be", "N", "N"],
  "fractional_positions": [[0.500, 0.500, 0.500], [0.000, 0.000, 0.500], [0.000, 0.000, 0.000], [0.000, 0.500, 0.000], [0.500, 0.000, 0.000]]
}



{
  "formula": "NiTe2Cl",
  "functional": "GGA-PBE",
  "state": "relaxed",
  "m_tot_mub_per_fu": 0.00,
  "raw_formation_energy_ev_per_atom": 0.31,
  "lattice": [[-0.740, -3.882, 2.865], [-3.090, -3.511, -1.397], [1.713, -4.374, -1.326]],
  "species": ["Ni", "Te", "Te", "Cl"],
  "fractional_positions": [[0.500, 0.500, 0.500], [0.250, 0.250, 0.250], [0.750, 0.750, 0.750], [0.000, 0.000, 0.000]]
}



{
  "formula": "La4HgPtBr2",
  "functional": "GGA-PBE",
  "state": "relaxed",
  "m_tot_mub_per_fu": 0.00,
  "raw_formation_energy_ev_per_atom": -1.07,
  "lattice": [[4.335, 0.000, 0.000], [0.000, 7.888, -0.265], [0.000, 2.671, 7.246]],
  "species": ["La", "La", "La", "La", "Hg", "Pt", "Br", "Br"],
  "fractional_positions": [[0.000, 0.717, 0.774], [0.000, 0.283, 0.226], [0.500, 0.738, 0.231], [0.500, 0.262, 0.769], [0.000, 0.500, 0.500], [0.500, 0.500, 0.000], [0.000, 0.000, 0.000], [0.500, 0.000, 0.500]]
}